# K2TmSbSe4

Crystalline K2TmSbSe4 at its relaxed geometry (PBE, Alexandria via LeMat-Bulk).

Values from the calculation:
Crystal system = orthorhombic
Magnetic moment = 0.0 μB per formula unit
Uncorrected energy = -4.286 eV per atom
Uncorrected formation energy = -1.196 eV/atom

```
K2TmSbSe4
1.0
-0.525 -8.317 2.499
8.527 -0.013 1.729
-5.096 5.896 3.685
K Tm Sb Se
4 2 2 8
Direct
0.500 0.000 0.000
0.500 0.000 0.500
0.000 0.000 0.500
0.500 0.500 0.000
0.000 0.500 0.000
0.000 0.500 0.500
0.500 0.500 0.500
0.000 0.000 0.000
0.206 0.731 0.969
0.769 0.294 0.531
0.231 0.706 0.469
0.794 0.269 0.031
0.767 0.733 0.976
0.767 0.733 0.524
0.233 0.267 0.476
0.233 0.267 0.024
```



# K3Tm2SbSe6

Crystalline K3Tm2SbSe6 at its relaxed geometry (PBE, Alexandria via LeMat-Bulk).

Values from the calculation:
Crystal system = monoclinic
Magnetic moment = 0.0 μB per formula unit
Uncorrected energy = -4.507 eV per atom
Uncorrected formation energy = -1.402 eV/atom

```
K3Tm2SbSe6
1.0
-3.586 6.297 0.629
-3.572 -6.302 0.667
3.748 0.026 7.106
K Tm Sb Se
3 2 1 6
Direct
0.165 0.835 0.500
0.835 0.165 0.500
0.500 0.500 0.500
0.333 0.667 0.000
0.667 0.333 0.000
0.000 0.000 0.000
0.932 0.594 0.797
0.729 0.729 0.203
0.068 0.406 0.203
0.594 0.932 0.797
0.271 0.271 0.797
0.406 0.068 0.203
```



# K3TmSb3Se8

Crystalline K3TmSb3Se8 at its relaxed geometry (PBE, Alexandria via LeMat-Bulk).

Values from the calculation:
Crystal system = trigonal
Magnetic moment = 0.0 μB per formula unit
Uncorrected energy = -4.053 eV per atom
Uncorrected formation energy = -0.853 eV/atom

```
K3TmSb3Se8
1.0
-0.130 4.113 7.178
2.921 -7.740 -0.280
5.370 6.591 -3.680
K Tm Sb Se
3 1 3 8
Direct
0.000 0.000 0.000
0.000 0.500 0.000
0.500 0.500 0.000
0.000 0.000 0.500
0.500 0.000 0.500
0.500 0.500 0.500
0.000 0.500 0.500
0.265 0.530 0.294
0.735 0.470 0.706
0.769 0.537 0.301
0.231 0.463 0.699
0.768 0.032 0.301
0.232 0.968 0.699
0.264 0.032 0.301
0.736 0.968 0.699
```



# K3TmSb2Se6

Crystalline K3TmSb2Se6 at its relaxed geometry (PBE, Alexandria via LeMat-Bulk).

Values from the calculation:
Crystal system = monoclinic
Magnetic moment = 0.0 μB per formula unit
Uncorrected energy = -4.126 eV per atom
Uncorrected formation energy = -1.050 eV/atom

```
K3TmSb2Se6
1.0
-6.737 1.787 2.236
0.926 -5.320 -4.942
2.443 -3.989 6.559
K Tm Sb Se
3 1 2 6
Direct
0.170 0.830 0.500
0.830 0.170 0.500
0.500 0.500 0.500
0.000 0.000 0.000
0.334 0.666 0.000
0.666 0.334 0.000
0.932 0.604 0.796
0.740 0.740 0.205
0.068 0.396 0.204
0.604 0.932 0.796
0.260 0.260 0.795
0.396 0.068 0.204
```